The following is a PBE calculation of an optimized crystal structure of Sm2BeB2Rh5, from the Alexandria database.

POSCAR file:
```
Sm2BeB2Rh5
1.0
9.4963 0.0000 0.0000
0.0000 9.4963 0.0000
0.0000 0.0000 3.1734
Sm Be B Rh
4 2 4 10
Direct
0.1765 0.3235 0.0000 Sm
0.3235 0.8235 0.0000 Sm
0.6765 0.1765 0.0000 Sm
0.8235 0.6765 0.0000 Sm
0.0000 0.0000 0.0000 Be
0.5000 0.5000 0.0000 Be
0.1238 0.6238 0.0000 B
0.3762 0.1238 0.0000 B
0.6238 0.8762 0.0000 B
0.8762 0.3762 0.0000 B
0.0000 0.5000 0.5000 Rh
0.0676 0.7850 0.5000 Rh
0.2150 0.0676 0.5000 Rh
0.2850 0.5676 0.5000 Rh
0.4324 0.2850 0.5000 Rh
0.5000 0.0000 0.5000 Rh
0.5676 0.7150 0.5000 Rh
0.7150 0.4324 0.5000 Rh
0.7850 0.9324 0.5000 Rh
0.9324 0.2150 0.5000 Rh
```

Properties
As for the space group: P4/mbm. The density is 9.8 g/cm³. The energy of formation from the pure elements is -611 meV/atom.